1.
Ti2CuP2 | PBE-GGA | relaxed

## Properties
For the final energy, the calculation gives -69.21 eV/cell.

a b c (Å): 6.4853 6.4853 3.3411
angles (deg): 90.00 90.00 90.00
Last column: nearest neighbours and their distance in Å.
Space group P4/mbm (No. 127)
Asymmetric unit:
Ti 0.1550 0.3450 0.0000 [4 per cell]  6 P 2.47-2.57
Cu 0.0000 0.0000 0.5000 [2 per cell]  4 P 2.48
P 0.1459 0.6459 0.5000 [4 per cell]  6 Ti 2.47-2.57, 2 Cu 2.48, 1 P 2.68



2.
Ti27CuP16 | PBE-GGA | relaxed

## Properties
For the final energy, the calculation gives -705.24 eV/cell.

a b c (Å): 14.5094 3.4006 27.3183
angles (deg): 90.00 104.56 90.00
Last column: nearest neighbours and their distance in Å.
Space group Cm (No. 8)
Asymmetric unit:
Ti 0.0000 0.0000 0.0000 [2 per cell]  5 P 2.53-2.74
Ti 0.9995 0.0000 0.4984 [2 per cell]  5 P 2.53-2.79
Ti 0.0898 0.0000 0.3976 [2 per cell]  4 P 2.52-2.59
Ti 0.0899 0.0000 0.8995 [2 per cell]  4 P 2.52-2.58
Ti 0.1572 0.0000 0.2317 [2 per cell]  4 P 2.48-2.63, 2 Ti 2.76
Ti 0.1566 0.5000 0.1518 [2 per cell]  5 P 2.43-2.56
Ti 0.1575 0.5000 0.6513 [2 per cell]  5 P 2.48-2.53
Ti 0.1603 0.0000 0.7330 [2 per cell]  4 P 2.49-2.59
Ti 0.1601 0.5000 0.4824 [2 per cell]  4 P 2.44-2.64
Ti 0.1615 0.5000 0.9846 [2 per cell]  4 P 2.44-2.66
Ti 0.1626 0.5000 0.3142 [2 per cell]  5 P 2.47-2.54
Ti 0.1630 0.5000 0.8147 [2 per cell]  5 P 2.48-2.53
Ti 0.2304 0.0000 0.5668 [2 per cell]  4 P 2.53-2.58
Ti 0.2371 0.0000 0.0715 [2 per cell]  5 P 2.57-2.86, 2 Cu 2.84
Ti 0.3208 0.0000 0.4662 [2 per cell]  5 P 2.53-2.79
Ti 0.3211 0.0000 0.9664 [2 per cell]  5 P 2.51-2.77
Ti 0.3385 0.5000 0.2520 [2 per cell]  5 P 2.55-2.71
Ti 0.3390 0.5000 0.7544 [2 per cell]  5 P 2.54-2.71
Ti 0.3554 0.5000 0.6363 [2 per cell]  4 P 2.45-2.66
Ti 0.3658 0.5000 0.3790 [2 per cell]  5 P 2.40-2.57
Ti 0.3666 0.5000 0.8804 [2 per cell]  5 P 2.41-2.56
Ti 0.4516 0.0000 0.0879 [2 per cell]  5 P 2.46-2.53
Ti 0.4544 0.0000 0.5858 [2 per cell]  5 P 2.40-2.55
Ti 0.4635 0.0000 0.3288 [2 per cell]  4 P 2.44-2.65
Ti 0.4653 0.0000 0.8300 [2 per cell]  4 P 2.45-2.67
Ti 0.4816 0.0000 0.2130 [2 per cell]  5 P 2.54-2.73, 2 Cu 2.84
Ti 0.4816 0.0000 0.7118 [2 per cell]  5 P 2.54-2.71
Cu 0.3561 0.5000 0.1435 [2 per cell]  3 P 2.32-2.40
P 0.0253 0.0000 0.1536 [2 per cell]  1 Cu 2.40, 7 Ti 2.48-2.56
P 0.0301 0.0000 0.6538 [2 per cell]  8 Ti 2.46-2.55
P 0.0307 0.0000 0.2839 [2 per cell]  8 Ti 2.44-2.71
P 0.0319 0.0000 0.7842 [2 per cell]  8 Ti 2.45-2.71
P 0.0984 0.5000 0.5577 [2 per cell]  7 Ti 2.40-2.53
P 0.1002 0.5000 0.0601 [2 per cell]  7 Ti 2.43-2.57
P 0.2210 0.5000 0.9080 [2 per cell]  7 Ti 2.41-2.53
P 0.2217 0.5000 0.4072 [2 per cell]  7 Ti 2.40-2.53
P 0.2874 0.0000 0.1798 [2 per cell]  2 Cu 2.32, 4 Ti 2.52-2.57
P 0.2891 0.0000 0.3105 [2 per cell]  8 Ti 2.45-2.57
P 0.2888 0.0000 0.6821 [2 per cell]  8 Ti 2.45-2.71
P 0.2905 0.0000 0.8124 [2 per cell]  8 Ti 2.46-2.56
P 0.3391 0.5000 0.0355 [2 per cell]  8 Ti 2.51-2.74
P 0.3386 0.5000 0.5369 [2 per cell]  9 Ti 2.52-2.79
P 0.4816 0.0000 0.4278 [2 per cell]  9 Ti 2.52-2.79
P 0.4822 0.0000 0.9296 [2 per cell]  9 Ti 2.53-2.77



3.
Ti3CuP | PBE-GGA | relaxed

## Properties
For the final energy, the calculation gives -33.37 eV/cell.

a b c (Å): 4.5079 4.5079 4.5079
angles (deg): 90.00 90.00 90.00
Last column: nearest neighbours and their distance in Å.
Space group Pm-3m (No. 221)
Asymmetric unit:
Ti 0.0000 0.0000 0.5000 [3 per cell]  2 P 2.25
Cu 0.5000 0.5000 0.5000 [1 per cell]  12 Ti 3.19
P 0.0000 0.0000 0.0000 [1 per cell]  6 Ti 2.25



4.
Ti2Cu2P | PBE-GGA | relaxed

## Properties
For the final energy, the calculation gives -60.98 eV/cell. As for the energy above the most stable polymorph in this dataset: 0 meV per atom.

a b c (Å): 6.0059 6.0059 3.9401
angles (deg): 90.00 90.00 90.00
Last column: nearest neighbours and their distance in Å.
Space group P4/mbm (No. 127)
Asymmetric unit:
Ti 0.1655 0.3345 0.0000 [4 per cell]  6 Cu 2.58-2.69, 1 Ti 2.81
Cu 0.1381 0.6381 0.5000 [4 per cell]  2 P 2.33, 1 Cu 2.35, 2 Ti 2.58
P 0.0000 0.0000 0.5000 [2 per cell]  4 Cu 2.33



5.
Ti2Cu2P | PBE-GGA | relaxed

## Properties
For the final energy, the calculation gives -60.26 eV/cell. As for the energy above the most stable polymorph in this dataset: 72 meV per atom.

a b c (Å): 3.2485 3.2485 14.3316
angles (deg): 90.00 90.00 90.00
Last column: nearest neighbours and their distance in Å.
Space group I4/mmm (No. 139)
Asymmetric unit:
Ti 0.0000 0.0000 0.0943 [4 per cell]  4 P 2.66, 1 Ti 2.70, 4 Cu 2.76
Cu 0.0000 0.5000 0.2500 [4 per cell]  4 Cu 2.30
P 0.0000 0.0000 0.5000 [2 per cell]  8 Ti 2.66



6.
TiCuP3 | PBE-GGA | relaxed

## Properties
For the final energy, the calculation gives -24.92 eV/cell. As for the energy above the most stable polymorph in this dataset: 129 meV per atom.

a b c (Å): 4.4459 4.4459 4.4459
angles (deg): 90.00 90.00 90.00
Last column: nearest neighbours and their distance in Å.
Space group Pm-3m (No. 221)
Asymmetric unit:
Ti 0.0000 0.0000 0.0000 [1 per cell]  12 P 3.14
Cu 0.5000 0.5000 0.5000 [1 per cell]  6 P 2.22
P 0.0000 0.5000 0.5000 [3 per cell]  2 Cu 2.22



7.
TiCuP3 | PBE-GGA | relaxed

## Properties
For the final energy, the calculation gives -25.56 eV/cell. As for the energy above the most stable polymorph in this dataset: 0 meV per atom.

a b c (Å): 4.6549 4.6549 4.6549
angles (deg): 90.00 90.00 90.00
Last column: nearest neighbours and their distance in Å.
Space group Pm-3m (No. 221)
Asymmetric unit:
Ti 0.0000 0.0000 0.0000 [1 per cell]  6 P 2.33
Cu 0.5000 0.5000 0.5000 [1 per cell]  12 P 3.29
P 0.0000 0.0000 0.5000 [3 per cell]  2 Ti 2.33



8.
TlCuP2 | PBE-GGA | relaxed

## Properties
For the final energy, the calculation gives -33.63 eV/cell. As for the energy above the most stable polymorph in this dataset: 76 meV per atom.

a b c (Å): 7.8125 3.2659 7.3658
angles (deg): 90.00 117.43 90.00
Last column: nearest neighbours and their distance in Å.
Space group Cm (No. 8)
Asymmetric unit:
Tl 0.0000 0.0000 0.0000 [2 per cell]  5 P 3.07-3.42, 3 Cu 3.08-3.42, 2 Tl 3.27
Cu 0.1804 0.0000 0.6557 [2 per cell]  4 P 2.28-2.44
P 0.3798 0.5000 0.3420 [2 per cell]  2 P 2.21, 1 Cu 2.42
P 0.4207 0.0000 0.5608 [2 per cell]  2 P 2.21, 3 Cu 2.28-2.44



9.
TlCuP2 | PBE-GGA | relaxed

## Properties
For the final energy, the calculation gives -30.60 eV/cell. As for the energy above the most stable polymorph in this dataset: 455 meV per atom.

a b c (Å): 5.3239 7.4734 4.4800
angles (deg): 90.00 122.70 90.00
Last column: nearest neighbours and their distance in Å.
Space group C2/m (No. 12)
Asymmetric unit:
Tl 0.0000 0.0000 0.0000 [2 per cell]  4 P 2.66, 2 Cu 2.66
Cu 0.0000 0.5000 0.0000 [2 per cell]  4 P 2.66, 2 Tl 2.66
P 0.2500 0.2500 0.5000 [4 per cell]  2 Tl 2.66, 2 Cu 2.66, 2 P 2.66



10.
TlCuP2 | PBE-GGA | relaxed

## Properties
For the final energy, the calculation gives -57.27 eV/cell. As for the energy above the most stable polymorph in this dataset: 700 meV per atom.

a b c (Å): 6.6038 6.6038 6.6038
angles (deg): 90.00 90.00 90.00
Last column: nearest neighbours and their distance in Å.
Space group F-43m (No. 216)
Asymmetric unit:
Tl 0.0000 0.0000 0.0000 [4 per cell]  4 P 2.86, 4 Cu 2.86
Cu 0.2500 0.2500 0.2500 [4 per cell]  4 Tl 2.86, 4 P 2.86
P 0.0000 0.0000 0.5000 [4 per cell]  4 Cu 2.86, 4 P 2.86
P 0.2500 0.2500 0.7500 [4 per cell]  4 P 2.86, 4 Tl 2.86



11.
TlCu2P | PBE-GGA | relaxed

## Properties
For the final energy, the calculation gives -14.21 eV/cell.

a b c (Å): 4.1721 4.1721 3.7928
angles (deg): 90.00 90.00 90.00
Last column: nearest neighbours and their distance in Å.
Space group P4/mmm (No. 123)
Asymmetric unit:
Tl 0.0000 0.0000 0.0000 [1 per cell]  8 Cu 2.82, 4 P 2.95
Cu 0.0000 0.5000 0.5000 [2 per cell]  4 P 2.82, 4 Tl 2.82, 4 Cu 2.95
P 0.5000 0.5000 0.0000 [1 per cell]  8 Cu 2.82, 4 Tl 2.95



12.
TlCu5P3 | PBE-GGA | relaxed

## Properties
For the final energy, the calculation gives -156.66 eV/cell.

a b c (Å): 12.4868 12.4868 3.8094
angles (deg): 90.00 90.00 90.00
Last column: nearest neighbours and their distance in Å.
Space group P4_2/mnm (No. 136)
Asymmetric unit:
Tl 0.1077 0.1077 0.0000 [4 per cell]  8 P 3.27-3.49, 4 Cu 3.59
Cu 0.0263 0.3927 0.0000 [8 per cell]  3 P 2.33-2.38, 1 Cu 2.46
Cu 0.0634 0.7184 0.5000 [8 per cell]  4 P 2.27-2.51, 1 Cu 2.46
Cu 0.1843 0.8157 0.0000 [4 per cell]  4 P 2.36-2.37
P 0.1049 0.8951 0.5000 [4 per cell]  4 Cu 2.27-2.37
P 0.1284 0.3413 0.5000 [8 per cell]  7 Cu 2.33-2.51